[1]
Na2UTl2Se4, relaxed, DFT GGA-PBE; SG = No. 12; D(E_F) = 3.6 states/eV/f.u.; raw total energy = -4.46 eV/atom; raw formation energy = -0.84 eV per atom
1.0
4.362 0.000 0.000
0.000 7.887 -0.397
-2.181 -3.495 7.968
Tl Se Na U
2 4 2 1
Direct
0.845 0.468 0.691 Tl
0.155 0.532 0.309 Tl
0.184 0.171 0.369 Se
0.486 0.750 0.971 Se
0.816 0.829 0.631 Se
0.514 0.250 0.029 Se
0.667 0.917 0.334 Na
0.333 0.083 0.666 Na
0.000 0.000 0.000 U

=====

[2]
NaUTl2Se4, relaxed, DFT GGA-PBE; SG = No. 10; D(E_F) = 5.0 states/eV/f.u.; raw total energy = -4.78 eV/atom; raw formation energy = -0.87 eV per atom
1.0
-1.066 0.744 -4.027
7.321 -2.190 -2.343
-0.228 -7.196 -1.270
Na U Se Tl
1 1 4 2
Direct
0.500 0.500 0.000 Na
0.000 0.500 0.500 U
0.000 0.707 0.730 Se
0.500 0.297 0.714 Se
0.500 0.703 0.286 Se
0.000 0.293 0.270 Se
0.500 0.000 0.500 Tl
0.000 0.000 0.000 Tl

=====

[3]
Na3U2TlSe6, relaxed, DFT GGA-PBE; SG = No. 12; D(E_F) = 13.6 states/eV/f.u.; raw total energy = -5.23 eV/atom; raw formation energy = -1.08 eV per atom
1.0
4.209 0.000 0.000
0.000 8.792 0.589
-2.104 -2.268 8.861
Na Tl Se U
3 1 6 2
Direct
0.846 0.160 0.691 Na
0.154 0.840 0.309 Na
0.500 0.500 0.000 Na
0.500 0.000 0.000 Tl
0.328 0.432 0.655 Se
0.672 0.568 0.345 Se
0.678 0.124 0.356 Se
0.983 0.724 0.967 Se
0.017 0.276 0.033 Se
0.322 0.876 0.644 Se
0.167 0.338 0.334 U
0.833 0.662 0.666 U

=====

[4]
NaTl2VSe4, relaxed, DFT GGA-PBE; SG = No. 70; raw total energy = -4.21 eV/atom; raw formation energy = -0.57 eV per atom
1.0
-5.401 -3.766 0.938
0.989 -7.276 0.060
-0.828 -1.528 12.669
Tl Se V Na
4 8 2 2
Direct
0.551 0.500 0.898 Tl
0.801 0.000 0.398 Tl
0.949 0.500 0.102 Tl
0.199 0.000 0.602 Tl
0.389 0.711 0.391 Se
0.258 0.211 0.891 Se
0.531 0.211 0.109 Se
0.361 0.789 0.109 Se
0.492 0.289 0.609 Se
0.851 0.789 0.891 Se
0.219 0.289 0.391 Se
0.899 0.711 0.609 Se
0.500 0.000 0.000 V
0.250 0.500 0.500 V
0.750 0.500 0.500 Na
0.000 0.000 0.000 Na

=====

[5]
Na2Tl3VSe6, relaxed, DFT GGA-PBE; SG = No. 12; D(E_F) = 3.5 states/eV/f.u.; raw total energy = -3.86 eV/atom; raw formation energy = -0.55 eV per atom
1.0
-0.485 -4.582 -5.740
3.862 -1.893 5.973
-6.661 -0.565 2.602
Se V Na Tl
6 1 2 3
Direct
0.224 0.224 0.796 Se
0.931 0.648 0.786 Se
0.352 0.069 0.214 Se
0.776 0.776 0.204 Se
0.069 0.352 0.214 Se
0.648 0.931 0.786 Se
0.000 0.000 0.000 V
0.331 0.669 0.000 Na
0.669 0.331 0.000 Na
0.154 0.846 0.500 Tl
0.500 0.500 0.500 Tl
0.846 0.154 0.500 Tl

=====

[6]
Na2TlWSe, relaxed, DFT GGA-PBE; SG = No. 123; D(E_F) = 3.2 states/eV/f.u.; raw total energy = -3.63 eV/atom; raw formation energy = 0.66 eV per atom
1.0
5.890 0.000 0.000
0.000 4.740 0.000
0.000 0.000 5.890
Na W Tl Se
2 1 1 1
Direct
0.500 0.000 0.000 Na
0.000 0.000 0.500 Na
0.000 0.000 0.000 W
0.500 0.500 0.500 Tl
0.000 0.500 0.000 Se

=====

[7]
Na2Tl2WSe6, relaxed, DFT GGA-PBE; SG = No. 12; D(E_F) = 6.8 states/eV/f.u.; raw total energy = -4.16 eV/atom; raw formation energy = -0.41 eV per atom
1.0
-2.849 -6.578 0.411
2.245 2.106 -6.487
6.231 -1.287 2.982
Se Na Tl W
6 2 2 1
Direct
0.650 0.944 0.279 Se
0.781 0.781 0.710 Se
0.219 0.219 0.290 Se
0.944 0.650 0.279 Se
0.350 0.056 0.721 Se
0.056 0.350 0.721 Se
0.334 0.666 0.500 Na
0.666 0.334 0.500 Na
0.837 0.163 0.000 Tl
0.163 0.837 0.000 Tl
0.000 0.000 0.500 W

=====

[8]
NaTl2ZnSe4, relaxed, DFT GGA-PBE; SG = No. 42; D(E_F) = 2.3 states/eV/f.u.; raw total energy = -3.15 eV/atom; raw formation energy = -0.49 eV per atom
1.0
6.608 0.108 0.000
-0.440 6.594 0.000
-3.084 -3.351 5.688
Zn Tl Se Na
1 2 4 1
Direct
0.501 0.501 0.001 Zn
0.255 0.755 0.509 Tl
0.755 0.255 0.509 Tl
0.387 0.835 0.222 Se
0.835 0.387 0.222 Se
0.607 0.607 0.760 Se
0.153 0.153 0.760 Se
0.008 0.008 0.016 Na

=====

[9]
NaZrTl2Se4, relaxed, DFT GGA-PBE; SG = No. 10; D(E_F) = 2.1 states/eV/f.u.; raw total energy = -4.42 eV/atom; raw formation energy = -0.85 eV per atom
1.0
-0.751 3.726 -1.318
-6.657 -0.105 3.498
1.128 2.687 6.953
Tl Se Na Zr
2 4 1 1
Direct
0.000 0.000 0.000 Tl
0.500 0.000 0.500 Tl
0.000 0.276 0.278 Se
0.500 0.293 0.712 Se
0.500 0.707 0.288 Se
0.000 0.724 0.722 Se
0.500 0.500 0.000 Na
0.000 0.500 0.500 Zr

=====

[10]
NaTmSe2, relaxed, DFT GGA-PBE; SG = No. 160; D(E_F) = 0.0 states/eV/f.u.; raw total energy = -4.76 eV/atom; raw formation energy = -1.57 eV per atom
1.0
-1.197 3.136 2.146
0.425 -0.018 3.961
6.455 4.084 1.329
Na Tm Se
1 1 2
Direct
0.668 0.668 0.995 Na
0.499 0.499 0.502 Tm
0.089 0.089 0.733 Se
0.244 0.244 0.269 Se

=====

[11]
NaTm5Se6, relaxed, DFT GGA-PBE; SG = No. 12; D(E_F) = 4.9 states/eV/f.u.; raw total energy = -5.39 eV/atom; raw formation energy = -1.67 eV per atom
1.0
6.850 -0.107 -1.294
-3.701 5.765 -1.294
0.141 0.253 7.012
Tm Se Na
5 6 1
Direct
0.162 0.838 0.500 Tm
0.666 0.334 0.000 Tm
0.500 0.500 0.500 Tm
0.838 0.162 0.500 Tm
0.334 0.666 0.000 Tm
0.580 0.916 0.747 Se
0.420 0.084 0.253 Se
0.749 0.749 0.246 Se
0.084 0.420 0.253 Se
0.251 0.251 0.754 Se
0.916 0.580 0.747 Se
0.000 0.000 0.000 Na

=====

[12]
NaTm2Se, relaxed, DFT GGA-PBE; SG = No. 166; D(E_F) = 3.7 states/eV/f.u.; raw total energy = -3.98 eV/atom; raw formation energy = -0.54 eV per atom
1.0
-2.470 2.750 0.311
-3.313 -0.288 -1.644
-5.842 -3.676 8.232
Tm Se Na
2 1 1
Direct
0.890 0.890 0.330 Tm
0.110 0.110 0.670 Tm
0.500 0.500 0.500 Se
0.000 0.000 0.000 Na

=====

[13]
NaTm6Se8, relaxed, DFT GGA-PBE; SG = No. 225; D(E_F) = 4.0 states/eV/f.u.; raw total energy = -5.46 eV/atom; polymorph energy (0 for the lowest one) = 0.0000 eV per atom; raw formation energy = -1.73 eV per atom
1.0
6.944 0.000 4.009
2.315 6.547 4.009
0.000 0.000 8.018
Se Tm Na
8 6 1
Direct
0.256 0.744 0.256 Se
0.744 0.256 0.744 Se
0.744 0.744 0.256 Se
0.744 0.256 0.256 Se
0.750 0.750 0.750 Se
0.256 0.256 0.744 Se
0.250 0.250 0.250 Se
0.256 0.744 0.744 Se
0.500 0.000 0.500 Tm
0.000 0.000 0.500 Tm
0.000 0.500 0.000 Tm
0.500 0.500 0.000 Tm
0.000 0.500 0.500 Tm
0.500 0.000 0.000 Tm
0.000 0.000 0.000 Na

=====

[14]
NaTm4Se6, relaxed, DFT GGA-PBE; SG = No. 63; D(E_F) = 2.4 states/eV/f.u.; raw total energy = -5.37 eV/atom; raw formation energy = -1.73 eV per atom
1.0
4.033 0.000 0.000
-2.016 6.688 0.000
0.000 0.000 21.087
Se Tm Na
12 8 2
Direct
0.500 0.000 0.500 Se
0.318 0.636 0.250 Se
0.226 0.452 0.919 Se
0.957 0.914 0.840 Se
0.043 0.086 0.160 Se
0.500 0.000 0.000 Se
0.774 0.548 0.419 Se
0.226 0.452 0.581 Se
0.774 0.548 0.081 Se
0.957 0.914 0.660 Se
0.682 0.364 0.750 Se
0.043 0.086 0.340 Se
0.595 0.189 0.864 Tm
0.595 0.189 0.636 Tm
0.405 0.811 0.364 Tm
0.866 0.733 0.957 Tm
0.405 0.811 0.136 Tm
0.866 0.733 0.543 Tm
0.134 0.267 0.457 Tm
0.134 0.267 0.043 Tm
0.659 0.317 0.250 Na
0.341 0.683 0.750 Na

=====

[15]
NaTm6Se8, relaxed, DFT GGA-PBE; SG = No. 147; D(E_F) = 11.2 states/eV/f.u.; raw total energy = -5.38 eV/atom; polymorph energy (0 for the lowest one) = 0.0851 eV per atom; raw formation energy = -1.64 eV per atom
1.0
4.117 0.000 0.000
0.000 10.862 0.000
0.000 -5.431 9.407
Tm Se Na
6 8 1
Direct
0.250 0.862 0.518 Tm
0.750 0.343 0.862 Tm
0.250 0.482 0.343 Tm
0.250 0.657 0.138 Tm
0.750 0.138 0.482 Tm
0.750 0.518 0.657 Tm
0.749 0.643 0.956 Se
0.251 0.956 0.313 Se
0.251 0.357 0.044 Se
0.749 0.044 0.687 Se
0.250 0.333 0.667 Se
0.750 0.667 0.333 Se
0.251 0.687 0.643 Se
0.749 0.313 0.357 Se
0.500 0.000 0.000 Na

=====

[16]
NaTm4Se5, relaxed, DFT GGA-PBE; SG = No. 12; D(E_F) = 3.6 states/eV/f.u.; raw total energy = -5.34 eV/atom; raw formation energy = -1.68 eV per atom
1.0
3.916 0.000 0.895
1.650 6.609 1.798
-0.007 0.006 9.051
Tm Se Na
4 5 1
Direct
0.597 0.210 0.596 Tm
0.403 0.790 0.404 Tm
0.198 0.396 0.208 Tm
0.802 0.604 0.792 Tm
0.802 0.093 0.303 Se
0.606 0.687 0.101 Se
0.394 0.313 0.899 Se
0.198 0.907 0.697 Se
0.000 0.500 0.500 Se
0.000 0.000 0.000 Na

=====

[17]
NaTmSe2, relaxed, DFT GGA-PBE; SG = No. 194; D(E_F) = 0.0 states/eV/f.u.; raw total energy = -4.87 eV/atom; raw formation energy = -1.68 eV per atom
1.0
4.080 0.000 0.000
-2.040 3.534 0.000
0.000 0.000 14.297
Na Se Tm
2 4 2
Direct
0.333 0.667 0.750 Na
0.667 0.333 0.250 Na
0.333 0.667 0.111 Se
0.667 0.333 0.611 Se
0.667 0.333 0.889 Se
0.333 0.667 0.389 Se
0.000 0.000 0.500 Tm
0.000 0.000 0.000 Tm

=====

[18]
Na2Tm2USe6, relaxed, DFT GGA-PBE; SG = No. 12; D(E_F) = 6.7 states/eV/f.u.; raw total energy = -5.51 eV/atom; raw formation energy = -1.53 eV per atom
1.0
7.101 -0.017 0.074
-3.524 6.165 0.074
-1.266 -2.176 7.014
Se U Tm Na
6 1 2 2
Direct
0.408 0.073 0.724 Se
0.592 0.927 0.276 Se
0.927 0.592 0.276 Se
0.743 0.743 0.723 Se
0.257 0.257 0.277 Se
0.073 0.408 0.724 Se
0.000 0.000 0.500 U
0.667 0.333 0.500 Tm
0.333 0.667 0.500 Tm
0.832 0.168 0.000 Na
0.168 0.832 0.000 Na

=====

[19]
Na3TmU2Se6, relaxed, DFT GGA-PBE; SG = No. 12; D(E_F) = 8.1 states/eV/f.u.; raw total energy = -5.66 eV/atom; raw formation energy = -1.34 eV per atom
1.0
7.146 -0.001 0.000
-3.572 6.189 0.000
-1.192 -2.064 7.059
Se Na U Tm
6 3 2 1
Direct
0.406 0.077 0.232 Se
0.923 0.594 0.768 Se
0.251 0.251 0.768 Se
0.749 0.749 0.232 Se
0.594 0.923 0.768 Se
0.077 0.406 0.232 Se
0.167 0.833 0.500 Na
0.500 0.500 0.500 Na
0.833 0.167 0.500 Na
0.667 0.333 0.000 U
0.333 0.667 0.000 U
0.000 0.000 0.000 Tm

=====

[20]
NaTmUSe4, relaxed, DFT GGA-PBE; SG = No. 74; D(E_F) = 4.3 states/eV/f.u.; raw total energy = -5.85 eV/atom; raw formation energy = -1.42 eV per atom
1.0
8.599 0.000 0.000
-4.299 7.244 -0.488
0.000 -4.344 7.144
Na Tm U Se
2 2 2 8
Direct
0.883 0.765 0.133 Na
0.117 0.235 0.867 Na
0.500 0.000 0.500 Tm
0.500 0.000 0.000 Tm
0.000 0.500 0.500 U
0.500 0.500 0.500 U
0.260 0.521 0.736 Se
0.288 0.024 0.262 Se
0.735 0.024 0.262 Se
0.740 0.479 0.715 Se
0.260 0.521 0.285 Se
0.712 0.976 0.738 Se
0.740 0.479 0.264 Se
0.265 0.976 0.738 Se